Model 1:
{
  "formula": "CsMo3Pb",
  "functional": "PBE-GGA",
  "state": "relaxed",
  "lattice": [[5.008, 0.000, 0.000], [0.000, 5.008, 0.000], [0.000, 0.000, 5.008]],
  "species": ["Cs", "Mo", "Mo", "Mo", "Pb"],
  "fractional_positions": [[0.000, 0.000, 0.000], [0.000, 0.000, 0.500], [0.000, 0.500, 0.000], [0.500, 0.000, 0.000], [0.500, 0.500, 0.500]],
  "crystal_system": "cubic",
  "n_ef_per_ev_fu": 4.75
}



Model 2:
{
  "formula": "CsMo3Pb",
  "functional": "PBE-GGA",
  "state": "relaxed",
  "lattice": [[5.253, 0.000, 0.000], [0.000, 5.253, 0.000], [0.000, 0.000, 5.253]],
  "species": ["Cs", "Mo", "Mo", "Mo", "Pb"],
  "fractional_positions": [[0.000, 0.000, 0.000], [0.000, 0.500, 0.500], [0.500, 0.000, 0.500], [0.500, 0.500, 0.000], [0.500, 0.500, 0.500]],
  "crystal_system": "cubic",
  "n_ef_per_ev_fu": 10.46
}



Which structure is the most stable? The one labeled model 2.



Model 1:
{
  "formula": "CsMo2Pd",
  "functional": "PBE-GGA",
  "state": "relaxed",
  "lattice": [[-2.035, 2.035, 10.858], [2.035, -2.035, 10.858], [2.035, 2.035, -10.858]],
  "species": ["Cs", "Cs", "Mo", "Mo", "Mo", "Mo", "Pd", "Pd"],
  "fractional_positions": [[0.000, 0.000, 0.000], [0.750, 0.250, 0.500], [0.207, 0.625, 0.082], [0.375, 0.457, 0.582], [0.543, 0.125, 0.918], [0.875, 0.793, 0.418], [0.250, 0.750, 0.500], [0.500, 0.500, 0.000]],
  "crystal_system": "tetragonal",
  "n_ef_per_ev_fu": 3.32
}



Model 2:
{
  "formula": "CsMo2Pd",
  "functional": "PBE-GGA",
  "state": "relaxed",
  "lattice": [[0.000, 3.325, 3.325], [3.325, 0.000, 3.325], [3.325, 3.325, 0.000]],
  "species": ["Cs", "Mo", "Mo", "Pd"],
  "fractional_positions": [[0.000, 0.000, 0.000], [0.250, 0.250, 0.250], [0.750, 0.750, 0.750], [0.500, 0.500, 0.500]],
  "crystal_system": "cubic",
  "n_ef_per_ev_fu": 6.16
}



Which structure is the most stable? The one labeled model 1.



Model 1:
{
  "formula": "CsMo2Pt",
  "functional": "PBE-GGA",
  "state": "relaxed",
  "lattice": [[-2.452, 2.452, 9.396], [2.452, -2.452, 9.396], [2.452, 2.452, -9.396]],
  "species": ["Cs", "Cs", "Mo", "Mo", "Mo", "Mo", "Pt", "Pt"],
  "fractional_positions": [[0.000, 0.000, 0.000], [0.750, 0.250, 0.500], [0.350, 0.125, 0.725], [0.375, 0.650, 0.775], [0.400, 0.625, 0.275], [0.875, 0.600, 0.225], [0.250, 0.750, 0.500], [0.500, 0.500, 0.000]],
  "crystal_system": "tetragonal",
  "n_ef_per_ev_fu": 4.82
}



Model 2:
{
  "formula": "CsMo2Pt",
  "functional": "PBE-GGA",
  "state": "relaxed",
  "lattice": [[0.000, 3.327, 3.327], [3.327, 0.000, 3.327], [3.327, 3.327, 0.000]],
  "species": ["Cs", "Mo", "Mo", "Pt"],
  "fractional_positions": [[0.000, 0.000, 0.000], [0.250, 0.250, 0.250], [0.750, 0.750, 0.750], [0.500, 0.500, 0.500]],
  "crystal_system": "cubic",
  "n_ef_per_ev_fu": 5.26
}



Which structure is the most stable? The one labeled model 1.



Model 1:
{
  "formula": "CsMo3Pt",
  "functional": "PBE-GGA",
  "state": "relaxed",
  "lattice": [[4.824, 0.000, 0.000], [0.000, 4.824, 0.000], [0.000, 0.000, 4.824]],
  "species": ["Cs", "Mo", "Mo", "Mo", "Pt"],
  "fractional_positions": [[0.000, 0.000, 0.000], [0.000, 0.000, 0.500], [0.000, 0.500, 0.000], [0.500, 0.000, 0.000], [0.500, 0.500, 0.500]],
  "crystal_system": "cubic",
  "n_ef_per_ev_fu": 3.30
}



Model 2:
{
  "formula": "CsMo3Pt",
  "functional": "PBE-GGA",
  "state": "relaxed",
  "lattice": [[5.027, 0.000, 0.000], [0.000, 5.027, 0.000], [0.000, 0.000, 5.027]],
  "species": ["Cs", "Mo", "Mo", "Mo", "Pt"],
  "fractional_positions": [[0.000, 0.000, 0.000], [0.000, 0.500, 0.500], [0.500, 0.000, 0.500], [0.500, 0.500, 0.000], [0.500, 0.500, 0.500]],
  "crystal_system": "cubic",
  "n_ef_per_ev_fu": 4.67
}



Which structure is the most stable? The one labeled model 2.



Model 1:
{
  "formula": "CsMoPt3",
  "functional": "PBE-GGA",
  "state": "relaxed",
  "lattice": [[5.156, 0.000, 0.000], [0.000, 5.156, 0.000], [0.000, 0.000, 5.156]],
  "species": ["Cs", "Mo", "Pt", "Pt", "Pt"],
  "fractional_positions": [[0.000, 0.000, 0.000], [0.500, 0.500, 0.500], [0.000, 0.000, 0.500], [0.000, 0.500, 0.000], [0.500, 0.000, 0.000]],
  "crystal_system": "cubic",
  "n_ef_per_ev_fu": 5.52
}



Model 2:
{
  "formula": "CsMoPt3",
  "functional": "PBE-GGA",
  "state": "relaxed",
  "lattice": [[5.012, 0.000, 0.000], [0.000, 5.012, 0.000], [0.000, 0.000, 5.012]],
  "species": ["Cs", "Mo", "Pt", "Pt", "Pt"],
  "fractional_positions": [[0.000, 0.000, 0.000], [0.500, 0.500, 0.500], [0.000, 0.500, 0.500], [0.500, 0.000, 0.500], [0.500, 0.500, 0.000]],
  "crystal_system": "cubic",
  "n_ef_per_ev_fu": 6.39
}



Which structure is the most stable? The one labeled model 2.



Model 1:
{
  "formula": "CsRbMo3",
  "functional": "PBE-GGA",
  "state": "relaxed",
  "lattice": [[5.318, 0.000, 0.000], [0.000, 5.318, 0.000], [0.000, 0.000, 5.318]],
  "species": ["Cs", "Rb", "Mo", "Mo", "Mo"],
  "fractional_positions": [[0.000, 0.000, 0.000], [0.500, 0.500, 0.500], [0.000, 0.500, 0.500], [0.500, 0.000, 0.500], [0.500, 0.500, 0.000]],
  "crystal_system": "cubic",
  "n_ef_per_ev_fu": 7.54
}



Model 2:
{
  "formula": "CsRbMo3",
  "functional": "PBE-GGA",
  "state": "relaxed",
  "lattice": [[5.145, 0.000, 0.000], [0.000, 5.145, 0.000], [0.000, 0.000, 5.145]],
  "species": ["Cs", "Rb", "Mo", "Mo", "Mo"],
  "fractional_positions": [[0.000, 0.000, 0.000], [0.500, 0.500, 0.500], [0.000, 0.000, 0.500], [0.000, 0.500, 0.000], [0.500, 0.000, 0.000]],
  "crystal_system": "cubic",
  "n_ef_per_ev_fu": 4.45
}



Which structure is the most stable? The one labeled model 2.



Model 1:
{
  "formula": "CsMoRh3",
  "functional": "PBE-GGA",
  "state": "relaxed",
  "lattice": [[4.861, 0.000, 0.000], [0.000, 4.861, 0.000], [0.000, 0.000, 4.861]],
  "species": ["Cs", "Mo", "Rh", "Rh", "Rh"],
  "fractional_positions": [[0.000, 0.000, 0.000], [0.500, 0.500, 0.500], [0.000, 0.500, 0.500], [0.500, 0.000, 0.500], [0.500, 0.500, 0.000]],
  "crystal_system": "cubic",
  "n_ef_per_ev_fu": 2.48
}



Model 2:
{
  "formula": "CsMoRh3",
  "functional": "PBE-GGA",
  "state": "relaxed",
  "lattice": [[4.843, 0.000, 0.000], [0.000, 4.843, 0.000], [0.000, 0.000, 4.843]],
  "species": ["Cs", "Mo", "Rh", "Rh", "Rh"],
  "fractional_positions": [[0.000, 0.000, 0.000], [0.500, 0.500, 0.500], [0.000, 0.000, 0.500], [0.000, 0.500, 0.000], [0.500, 0.000, 0.000]],
  "crystal_system": "cubic",
  "n_ef_per_ev_fu": 20.65
}



Which structure is the most stable? The one labeled model 1.



Model 1:
{
  "formula": "CsMo2Rh",
  "functional": "PBE-GGA",
  "state": "relaxed",
  "lattice": [[0.000, 3.301, 3.301], [3.301, 0.000, 3.301], [3.301, 3.301, 0.000]],
  "species": ["Cs", "Mo", "Mo", "Rh"],
  "fractional_positions": [[0.000, 0.000, 0.000], [0.250, 0.250, 0.250], [0.750, 0.750, 0.750], [0.500, 0.500, 0.500]],
  "crystal_system": "cubic",
  "n_ef_per_ev_fu": 1.63
}



Model 2:
{
  "formula": "CsMo2Rh",
  "functional": "PBE-GGA",
  "state": "relaxed",
  "lattice": [[-2.523, 2.523, 8.822], [2.523, -2.523, 8.822], [2.523, 2.523, -8.822]],
  "species": ["Cs", "Cs", "Mo", "Mo", "Mo", "Mo", "Rh", "Rh"],
  "fractional_positions": [[0.000, 0.000, 0.000], [0.750, 0.250, 0.500], [0.348, 0.625, 0.223], [0.375, 0.598, 0.723], [0.402, 0.125, 0.777], [0.875, 0.652, 0.277], [0.250, 0.750, 0.500], [0.500, 0.500, 0.000]],
  "crystal_system": "tetragonal",
  "n_ef_per_ev_fu": 5.58
}



Which structure is the most stable? The one labeled model 1.



Model 1:
{
  "formula": "CsMo3Rh",
  "functional": "PBE-GGA",
  "state": "relaxed",
  "lattice": [[4.953, 0.000, 0.000], [0.000, 4.953, 0.000], [0.000, 0.000, 4.953]],
  "species": ["Cs", "Mo", "Mo", "Mo", "Rh"],
  "fractional_positions": [[0.000, 0.000, 0.000], [0.000, 0.500, 0.500], [0.500, 0.000, 0.500], [0.500, 0.500, 0.000], [0.500, 0.500, 0.500]],
  "crystal_system": "cubic",
  "n_ef_per_ev_fu": 4.52
}



Model 2:
{
  "formula": "CsMo3Rh",
  "functional": "PBE-GGA",
  "state": "relaxed",
  "lattice": [[4.832, 0.000, 0.000], [0.000, 4.832, 0.000], [0.000, 0.000, 4.832]],
  "species": ["Cs", "Mo", "Mo", "Mo", "Rh"],
  "fractional_positions": [[0.000, 0.000, 0.000], [0.000, 0.000, 0.500], [0.000, 0.500, 0.000], [0.500, 0.000, 0.000], [0.500, 0.500, 0.500]],
  "crystal_system": "cubic",
  "n_ef_per_ev_fu": 9.69
}



Which structure is the most stable? The one labeled model 1.



Model 1:
{
  "formula": "CsMoRu3",
  "functional": "PBE-GGA",
  "state": "relaxed",
  "lattice": [[4.782, 0.000, 0.000], [0.000, 4.782, 0.000], [0.000, 0.000, 4.782]],
  "species": ["Cs", "Mo", "Ru", "Ru", "Ru"],
  "fractional_positions": [[0.000, 0.000, 0.000], [0.500, 0.500, 0.500], [0.000, 0.000, 0.500], [0.000, 0.500, 0.000], [0.500, 0.000, 0.000]],
  "crystal_system": "cubic",
  "n_ef_per_ev_fu": 19.86
}



Model 2:
{
  "formula": "CsMoRu3",
  "functional": "PBE-GGA",
  "state": "relaxed",
  "lattice": [[4.868, 0.000, 0.000], [0.000, 4.868, 0.000], [0.000, 0.000, 4.868]],
  "species": ["Cs", "Mo", "Ru", "Ru", "Ru"],
  "fractional_positions": [[0.000, 0.000, 0.000], [0.500, 0.500, 0.500], [0.000, 0.500, 0.500], [0.500, 0.000, 0.500], [0.500, 0.500, 0.000]],
  "crystal_system": "cubic",
  "n_ef_per_ev_fu": 9.03
}



Which structure is the most stable? The one labeled model 2.



Model 1:
{
  "formula": "CsMo3Ru",
  "functional": "PBE-GGA",
  "state": "relaxed",
  "lattice": [[4.928, 0.000, 0.000], [0.000, 4.928, 0.000], [0.000, 0.000, 4.928]],
  "species": ["Cs", "Mo", "Mo", "Mo", "Ru"],
  "fractional_positions": [[0.000, 0.000, 0.000], [0.000, 0.500, 0.500], [0.500, 0.000, 0.500], [0.500, 0.500, 0.000], [0.500, 0.500, 0.500]],
  "crystal_system": "cubic",
  "n_ef_per_ev_fu": 4.43
}



Model 2:
{
  "formula": "CsMo3Ru",
  "functional": "PBE-GGA",
  "state": "relaxed",
  "lattice": [[4.837, 0.000, 0.000], [0.000, 4.837, 0.000], [0.000, 0.000, 4.837]],
  "species": ["Cs", "Mo", "Mo", "Mo", "Ru"],
  "fractional_positions": [[0.000, 0.000, 0.000], [0.000, 0.000, 0.500], [0.000, 0.500, 0.000], [0.500, 0.000, 0.000], [0.500, 0.500, 0.500]],
  "crystal_system": "cubic",
  "n_ef_per_ev_fu": 5.41
}



Which structure is the most stable? The one labeled model 1.



Model 1:
{
  "formula": "Cs3MoS4",
  "functional": "PBE-GGA",
  "state": "relaxed",
  "lattice": [[13.458, 0.000, 0.000], [0.000, 6.923, 0.000], [0.000, 0.000, 6.703]],
  "species": ["Cs", "Cs", "Cs", "Cs", "Cs", "Cs", "Mo", "Mo", "S", "S", "S", "S", "S", "S", "S", "S"],
  "fractional_positions": [[0.000, 0.162, 0.000], [0.249, 0.730, 0.028], [0.251, 0.270, 0.528], [0.500, 0.838, 0.500], [0.749, 0.270, 0.528], [0.751, 0.730, 0.028], [0.000, 0.646, 0.425], [0.500, 0.354, 0.925], [0.000, 0.330, 0.500], [0.000, 0.658, 0.091], [0.145, 0.778, 0.531], [0.355, 0.222, 0.031], [0.500, 0.342, 0.591], [0.500, 0.670, 0.000], [0.645, 0.222, 0.031], [0.855, 0.778, 0.531]],
  "crystal_system": "orthorhombic",
  "n_ef_per_ev_fu": 5.64
}



Model 2:
{
  "formula": "Cs3MoS4",
  "functional": "PBE-GGA",
  "state": "relaxed",
  "lattice": [[-4.109, 4.109, 4.307], [4.109, -4.109, 4.307], [4.109, 4.109, -4.307]],
  "species": ["Cs", "Cs", "Cs", "Mo", "S", "S", "S", "S"],
  "fractional_positions": [[0.000, 0.000, 0.000], [0.250, 0.750, 0.500], [0.750, 0.250, 0.500], [0.500, 0.500, 0.000], [0.300, 0.300, 0.600], [0.300, 0.700, 0.000], [0.700, 0.300, 0.000], [0.700, 0.700, 0.400]],
  "crystal_system": "tetragonal",
  "n_ef_per_ev_fu": 1.80
}



Which structure is the most stable? The one labeled model 1.